Record 1
## Na2Ga2GePd5 (PBE)

Data for crystalline Na2Ga2GePd5 at its relaxed geometry.

## Properties
Energy: -4.3809 eV per atom

The structure in extended XYZ format:
```
20
Lattice="9.959 0.000 0.000 0.000 9.959 0.000 0.000 0.000 3.438" Properties=species:S:1:pos:R:3 pbc="T T T"
Na 1.711 3.269 0.000
Na 3.269 8.249 0.000
Na 6.690 1.711 0.000
Na 8.249 6.690 0.000
Ga 1.287 6.266 0.000
Ga 3.693 1.287 0.000
Ga 6.266 8.672 0.000
Ga 8.672 3.693 0.000
Ge 0.000 0.000 0.000
Ge 4.980 4.980 0.000
Pd 0.000 4.980 1.719
Pd 0.665 8.015 1.719
Pd 1.944 0.665 1.719
Pd 3.035 5.644 1.719
Pd 4.315 3.035 1.719
Pd 4.980 0.000 1.719
Pd 5.644 6.924 1.719
Pd 6.924 4.315 1.719
Pd 8.015 9.294 1.719
Pd 9.294 1.944 1.719
```

Record 2
## NaGaGe2Pd (PBE)

Data for crystalline NaGaGe2Pd at its relaxed geometry.

## Properties
Energy: -4.0022 eV per atom

The structure in extended XYZ format:
```
5
Lattice="-2.111 2.111 5.499 2.111 -2.111 5.499 2.111 2.111 -5.499" Properties=species:S:1:pos:R:3 pbc="T T T"
Na 0.000 0.000 0.000
Ga 2.111 0.000 2.750
Ge 0.000 0.000 4.227
Ge 0.000 0.000 6.771
Pd 0.000 2.111 2.750
```

Record 3
## Na2GaGe2Pd5 (PBE)

Data for crystalline Na2GaGe2Pd5 at its relaxed geometry.

## Properties
Energy: -4.5426 eV per atom

The structure in extended XYZ format:
```
20
Lattice="10.854 0.000 0.000 0.000 10.854 0.000 0.000 0.000 2.936" Properties=species:S:1:pos:R:3 pbc="T T T"
Na 1.868 3.559 0.000
Na 3.559 8.986 0.000
Na 7.295 1.868 0.000
Na 8.986 7.295 0.000
Ga 0.000 0.000 0.000
Ga 5.427 5.427 0.000
Ge 1.460 6.887 0.000
Ge 3.967 1.460 0.000
Ge 6.887 9.394 0.000
Ge 9.394 3.967 0.000
Pd 0.000 5.427 1.468
Pd 0.666 8.790 1.468
Pd 2.064 0.666 1.468
Pd 3.363 6.093 1.468
Pd 4.761 3.363 1.468
Pd 5.427 0.000 1.468
Pd 6.093 7.490 1.468
Pd 7.490 4.761 1.468
Pd 8.790 10.188 1.468
Pd 10.188 2.064 1.468
```

Record 4
## Na2GaGe4Pd3 (PBE)

Data for crystalline Na2GaGe4Pd3 at its relaxed geometry.

## Properties
Energy: -4.2734 eV per atom

The structure in extended XYZ format:
```
10
Lattice="4.187 0.000 0.000 0.000 4.187 0.000 0.000 0.000 11.013" Properties=species:S:1:pos:R:3 pbc="T T T"
Na 0.000 2.093 2.742
Na 2.093 0.000 8.271
Ga 0.000 0.000 5.507
Ge 0.000 0.000 0.000
Ge 0.000 2.093 7.046
Ge 2.093 0.000 3.967
Ge 2.093 2.093 0.000
Pd 0.000 2.093 9.536
Pd 2.093 0.000 1.477
Pd 2.093 2.093 5.507
```

Record 5
## Na2PrGaGe2 (PBE)

Data for crystalline Na2PrGaGe2 at its relaxed geometry.

## Properties
Energy: -3.6743 eV per atom

The structure in extended XYZ format:
```
12
Lattice="4.339 0.000 0.000 0.000 8.831 0.000 0.000 0.000 7.554" Properties=species:S:1:pos:R:3 pbc="T T T"
Na 0.000 0.711 0.000
Na 0.000 8.120 3.777
Na 2.170 1.394 2.434
Na 2.170 7.437 6.211
Pr 2.170 3.909 7.300
Pr 2.170 4.923 3.523
Ga 0.000 2.845 4.731
Ga 0.000 5.986 0.954
Ge 0.000 3.394 1.911
Ge 0.000 5.437 5.688
Ge 2.170 1.538 5.368
Ge 2.170 7.293 1.591
```

Record 6
## NaGaGePt (PBE)

Data for crystalline NaGaGePt at its relaxed geometry.

## Properties
Energy: -3.9928 eV per atom

The structure in extended XYZ format:
```
4
Lattice="0.000 3.225 3.225 3.225 0.000 3.225 3.225 3.225 0.000" Properties=species:S:1:pos:R:3 pbc="T T T"
Na 0.000 0.000 0.000
Ga 4.838 4.838 4.838
Ge 1.613 1.613 1.613
Pt 3.225 3.225 3.225
```